Version i
Below is a geometry-optimized TbNd3N4 structure, with properties calculated at the PBE level.

```
TbNd3N4
1.0
6.260 0.058 0.000
-2.139 5.885 0.000
0.000 0.000 7.236
N Nd Tb
8 6 2
Cartesian
2.571 1.484 2.652
4.631 4.512 6.331
2.620 1.460 6.331
1.550 4.459 4.584
1.500 4.483 0.905
-0.510 1.431 0.905
-1.580 4.430 2.652
5.701 1.513 4.584
0.495 2.957 6.334
3.626 2.986 4.546
3.626 2.986 0.901
0.495 2.957 2.690
1.565 0.015 4.543
4.695 0.044 2.692
1.565 0.015 0.906
4.695 0.044 6.329
```

Results
- SG: P2/c, No. 13
- Total moment: 0.00 μB per cell


Version ii
Below is a geometry-optimized TbNd3N4 structure, with properties calculated at the PBE level.

```
TbNd3N4
1.0
5.115 0.000 0.000
0.000 5.115 0.000
0.000 0.000 5.115
Nd N Tb
3 4 1
Cartesian
2.558 2.558 0.000
0.000 2.558 2.558
2.558 0.000 2.558
0.000 2.558 0.000
0.000 0.000 2.558
2.558 2.558 2.558
2.558 0.000 0.000
0.000 0.000 0.000
```

Results
- SG: Pm-3m, No. 221
- Total moment: 0.00 μB per cell


Pick version i: it beats the second-best structure by 0.008 eV/atom.


Version i
Below is a geometry-optimized Tb2NdN structure, with properties calculated at the PBE level.

```
Tb2NdN
1.0
3.480 0.000 0.000
1.740 3.014 0.000
1.740 1.005 9.657
Tb Nd N
2 1 1
Cartesian
5.220 3.014 3.495
1.740 1.005 6.161
0.000 0.000 0.000
3.480 2.009 4.828
```

Results
- SG: R-3m, No. 166
- Total moment: 0.00 μB per cell


Version ii
Below is a geometry-optimized Tb2NdN structure, with properties calculated at the PBE level.

```
Tb2NdN
1.0
-1.539 -1.632 2.269
0.805 -2.739 -1.424
7.550 -0.324 4.888
Nd Tb N
1 2 1
Cartesian
3.408 -2.347 2.866
1.192 -0.051 0.771
6.359 -0.273 4.117
-0.367 -2.186 0.422
```

Results
- SG: P4/mmm, No. 123
- Total moment: 0.00 μB per cell


Pick version i: it beats the second-best structure by 0.508 eV/atom.